No. 1
# GGA-PBEsol Y3AsPd, optimized geometry
# * M_tot: 0.0000 μB/atom
# * DFT formation energy: -131 kJ/mol of formula units
# * VASP energy: -32.89 eV for the cell shown
data_Y3AsPd
_chemical_formula_sum 'Y3 As1 Pd1'
_space_group_name_H-M_alt 'P m -3 m'
_space_group_IT_number 221
_space_group_name_Hall '-P 4 2 3'
_cell_length_a 5.259
_cell_length_b 5.259
_cell_length_c 5.259
_cell_angle_alpha 90.00
_cell_angle_beta 90.00
_cell_angle_gamma 90.00
loop_
_atom_site_label
_atom_site_type_symbol
_atom_site_fract_x
_atom_site_fract_y
_atom_site_fract_z
Y1 Y 0.000 0.000 0.500
As1 As 0.500 0.500 0.500
Pd1 Pd 0.000 0.000 0.000

No. 2
# GGA-PBEsol MgBi2Rh, optimized geometry
# * M_tot: 0.0000 μB/atom
# * DFT formation energy: -31 kJ/mol of formula units
# * VASP energy: -74.97 eV for the cell shown
data_MgBi2Rh
_chemical_formula_sum 'Mg4 Bi8 Rh4'
_space_group_name_H-M_alt 'I -4 2 d'
_space_group_IT_number 122
_space_group_name_Hall 'I -4 2bw'
_cell_length_a 9.111
_cell_length_b 9.111
_cell_length_c 5.056
_cell_angle_alpha 90.00
_cell_angle_beta 90.00
_cell_angle_gamma 90.00
loop_
_atom_site_label
_atom_site_type_symbol
_atom_site_fract_x
_atom_site_fract_y
_atom_site_fract_z
Mg1 Mg 0.000 0.000 0.000
Bi1 Bi 0.138 0.250 0.625
Rh1 Rh 0.000 0.000 0.500

No. 3
# GGA-PBEsol Na2PtC2, optimized geometry
# * distance to the lowest polymorph of the same formula: 0.275 eV per atom
# * M_tot: 0.0000 μB/atom
# * DFT formation energy: 143 kJ/mol of formula units
# * VASP energy: -55.14 eV for the cell shown
data_Na2PtC2
_chemical_formula_sum 'Na4 Pt2 C4'
_space_group_name_H-M_alt 'P 4/m b m'
_space_group_IT_number 127
_space_group_name_Hall '-P 4 2ab'
_cell_length_a 5.262
_cell_length_b 5.262
_cell_length_c 4.320
_cell_angle_alpha 90.00
_cell_angle_beta 90.00
_cell_angle_gamma 90.00
loop_
_atom_site_label
_atom_site_type_symbol
_atom_site_fract_x
_atom_site_fract_y
_atom_site_fract_z
Na1 Na 0.190 0.310 0.000
Pt1 Pt 0.000 0.000 0.500
C1 C 0.094 0.594 0.500

No. 4
# GGA-PBEsol Ca2Mn2O5, optimized geometry
# * distance to the lowest polymorph of the same formula: 0.012 eV per atom
# * M_tot: 0.8816 μB/atom
# * raw formation energy: -2.2503 eV per atom
# * VASP energy: -281.15 eV for the cell shown
data_Ca2Mn2O5
_chemical_formula_sum 'Ca8 Mn8 O20'
_space_group_name_H-M_alt 'I m a 2'
_space_group_IT_number 46
_space_group_name_Hall 'I 2 -2a'
_cell_length_a 14.929
_cell_length_b 5.445
_cell_length_c 5.299
_cell_angle_alpha 90.00
_cell_angle_beta 90.00
_cell_angle_gamma 90.00
loop_
_atom_site_label
_atom_site_type_symbol
_atom_site_fract_x
_atom_site_fract_y
_atom_site_fract_z
Ca1 Ca 0.108 0.020 0.000
Mn1 Mn 0.000 0.000 0.506
Mn2 Mn 0.250 0.556 0.965
O1 O 0.012 0.748 0.754
O2 O 0.132 0.052 0.515
O3 O 0.250 0.607 0.595

No. 5
# GGA-PBEsol HfSb3Se, optimized geometry
# * M_tot: 0.0988 μB/atom
# * raw formation energy: 0.4481 eV per atom
# * VASP energy: -25.78 eV for the cell shown
data_HfSb3Se
_chemical_formula_sum 'Hf1 Sb3 Se1'
_space_group_name_H-M_alt 'P m -3 m'
_space_group_IT_number 221
_space_group_name_Hall '-P 4 2 3'
_cell_length_a 5.381
_cell_length_b 5.381
_cell_length_c 5.381
_cell_angle_alpha 90.00
_cell_angle_beta 90.00
_cell_angle_gamma 90.00
loop_
_atom_site_label
_atom_site_type_symbol
_atom_site_fract_x
_atom_site_fract_y
_atom_site_fract_z
Hf1 Hf 0.000 0.000 0.000
Sb1 Sb 0.000 0.000 0.500
Se1 Se 0.500 0.500 0.500

No. 6
# GGA-PBEsol Li5Ni2P3O12, optimized geometry
# * distance to the lowest polymorph of the same formula: 0.006 eV per atom
# * M_tot: 0.1830 μB/atom
# * raw formation energy: -2.0024 eV per atom
# * VASP energy: -293.14 eV for the cell shown
data_Li5Ni2P3O12
_chemical_formula_sum 'Li10 Ni4 P6 O24'
_space_group_name_H-M_alt 'P -1'
_space_group_IT_number 2
_space_group_name_Hall '-P 1'
_cell_length_a 8.155
_cell_length_b 8.171
_cell_length_c 9.110
_cell_angle_alpha 89.90
_cell_angle_beta 63.59
_cell_angle_gamma 60.24
loop_
_atom_site_label
_atom_site_type_symbol
_atom_site_fract_x
_atom_site_fract_y
_atom_site_fract_z
Li1 Li 0.059 0.167 0.364
Li2 Li 0.089 0.255 0.902
Li3 Li 0.214 0.217 0.597
Li4 Li 0.380 0.428 0.401
Li5 Li 0.387 0.619 0.906
Ni1 Ni 0.288 0.351 0.069
Ni2 Ni 0.304 0.848 0.537
P1 P 0.194 0.753 0.261
P2 P 0.210 0.543 0.745
P3 P 0.490 0.958 0.755
O1 O 0.017 0.350 0.238
O2 O 0.027 0.973 0.305
O3 O 0.098 0.640 0.230
O4 O 0.183 0.521 0.921
O5 O 0.233 0.701 0.413
O6 O 0.307 0.049 0.390
O7 O 0.318 0.661 0.693
O8 O 0.323 0.007 0.694
O9 O 0.357 0.342 0.606
O10 O 0.360 0.118 0.920
O11 O 0.416 0.675 0.097
O12 O 0.425 0.252 0.219

No. 7
# GGA-PBEsol ZrZn2In, optimized geometry
# * M_tot: 0.0000 μB/atom
# * DFT formation energy: -59 kJ/mol of formula units
# * VASP energy: -15.85 eV for the cell shown
data_ZrZn2In
_chemical_formula_sum 'Zr1 Zn2 In1'
_space_group_name_H-M_alt 'P 4 m m'
_space_group_IT_number 99
_space_group_name_Hall 'P 4 -2'
_cell_length_a 3.156
_cell_length_b 3.156
_cell_length_c 7.205
_cell_angle_alpha 90.00
_cell_angle_beta 90.00
_cell_angle_gamma 90.00
loop_
_atom_site_label
_atom_site_type_symbol
_atom_site_fract_x
_atom_site_fract_y
_atom_site_fract_z
Zr1 Zr 0.000 0.000 0.000
Zn1 Zn 0.000 0.000 0.566
Zn2 Zn 0.500 0.500 0.748
In1 In 0.500 0.500 0.304

No. 8
# GGA-PBEsol Rb2MoS4, optimized geometry
# * M_tot: 0.0000 μB/atom
# * raw formation energy: -0.9423 eV per atom
# * VASP energy: -151.80 eV for the cell shown
data_Rb2MoS4
_chemical_formula_sum 'Rb8 Mo4 S16'
_space_group_name_H-M_alt 'P n m a'
_space_group_IT_number 62
_space_group_name_Hall '-P 2ac 2n'
_cell_length_a 9.660
_cell_length_b 6.896
_cell_length_c 12.244
_cell_angle_alpha 90.00
_cell_angle_beta 90.00
_cell_angle_gamma 90.00
loop_
_atom_site_label
_atom_site_type_symbol
_atom_site_fract_x
_atom_site_fract_y
_atom_site_fract_z
Rb1 Rb 0.040 0.250 0.165
Rb2 Rb 0.156 0.750 0.394
Mo1 Mo 0.247 0.750 0.075
S1 S 0.025 0.750 0.110
S2 S 0.157 0.505 0.648
S3 S 0.213 0.250 0.400

No. 9
# GGA-PBEsol K2LaCr, optimized geometry
# * distance to the lowest polymorph of the same formula: 0.030 eV per atom
# * M_tot: 1.2318 μB/atom
# * DFT formation energy: 367 kJ/mol of formula units
# * VASP energy: -42.17 eV for the cell shown
data_K2LaCr
_chemical_formula_sum 'K6 La3 Cr3'
_space_group_name_H-M_alt 'R -3 m'
_space_group_IT_number 166
_space_group_name_Hall '-R 3 2"'
_cell_length_a 3.5626
_cell_length_b 3.5626
_cell_length_c 39.6275
_cell_angle_alpha 90.00
_cell_angle_beta 90.00
_cell_angle_gamma 120.00
loop_
_atom_site_label
_atom_site_type_symbol
_atom_site_fract_x
_atom_site_fract_y
_atom_site_fract_z
K1 K 0.0000 0.0000 0.2412
La1 La 0.0000 0.0000 0.0000
Cr1 Cr 0.0000 0.0000 0.5000

No. 10
# GGA-PBEsol CdHIr3, optimized geometry
# * M_tot: 0.0000 μB/atom
# * VASP energy: -32.56 eV for the cell shown
data_CdHIr3
_chemical_formula_sum 'Cd1 H1 Ir3'
_space_group_name_H-M_alt 'P m -3 m'
_space_group_IT_number 221
_space_group_name_Hall '-P 4 2 3'
_cell_length_a 3.979
_cell_length_b 3.979
_cell_length_c 3.979
_cell_angle_alpha 90.00
_cell_angle_beta 90.00
_cell_angle_gamma 90.00
loop_
_atom_site_label
_atom_site_type_symbol
_atom_site_fract_x
_atom_site_fract_y
_atom_site_fract_z
Cd1 Cd 0.000 0.000 0.000
H1 H 0.500 0.500 0.500
Ir1 Ir 0.000 0.500 0.500

No. 11
# GGA-PBEsol SrZnCu2C, optimized geometry
# * M_tot: 0.0001 μB/atom
# * DFT formation energy: 411 kJ/mol of formula units
# * VASP energy: -17.48 eV for the cell shown
data_SrZnCu2C
_chemical_formula_sum 'Sr1 Zn1 Cu2 C1'
_space_group_name_H-M_alt 'P 4/m m m'
_space_group_IT_number 123
_space_group_name_Hall '-P 4 2'
_cell_length_a 4.581
_cell_length_b 4.581
_cell_length_c 4.011
_cell_angle_alpha 90.00
_cell_angle_beta 90.00
_cell_angle_gamma 90.00
loop_
_atom_site_label
_atom_site_type_symbol
_atom_site_fract_x
_atom_site_fract_y
_atom_site_fract_z
Sr1 Sr 0.000 0.000 0.000
Zn1 Zn 0.500 0.500 0.500
Cu1 Cu 0.000 0.500 0.500
C1 C 0.500 0.500 0.000

No. 12
# GGA-PBEsol Ca2HgIr2, optimized geometry
# * M_tot: 0.0001 μB/atom
# * DFT formation energy: 52 kJ/mol of formula units
# * VASP energy: -47.88 eV for the cell shown
data_Ca2HgIr2
_chemical_formula_sum 'Ca4 Hg2 Ir4'
_space_group_name_H-M_alt 'I 4/m m m'
_space_group_IT_number 139
_space_group_name_Hall '-I 4 2'
_cell_length_a 5.517
_cell_length_b 5.517
_cell_length_c 7.736
_cell_angle_alpha 90.00
_cell_angle_beta 90.00
_cell_angle_gamma 90.00
loop_
_atom_site_label
_atom_site_type_symbol
_atom_site_fract_x
_atom_site_fract_y
_atom_site_fract_z
Ca1 Ca 0.000 0.500 0.250
Hg1 Hg 0.000 0.000 0.000
Ir1 Ir 0.000 0.000 0.345

No. 13
# GGA-PBEsol YNiMo, optimized geometry
# * distance to the lowest polymorph of the same formula: 0.358 eV per atom
# * M_tot: 0.0001 μB/atom
# * DFT formation energy: 152 kJ/mol of formula units
# * VASP energy: -23.17 eV for the cell shown
data_YNiMo
_chemical_formula_sum 'Y1 Ni1 Mo1'
_space_group_name_H-M_alt 'P 3 m 1'
_space_group_IT_number 156
_space_group_name_Hall 'P 3 -2"'
_cell_length_a 3.1021
_cell_length_b 3.1021
_cell_length_c 6.3539
_cell_angle_alpha 90.00
_cell_angle_beta 90.00
_cell_angle_gamma 120.00
loop_
_atom_site_label
_atom_site_type_symbol
_atom_site_fract_x
_atom_site_fract_y
_atom_site_fract_z
Y1 Y 0.0000 0.0000 0.0000
Ni1 Ni 0.6667 0.3333 0.3536
Mo1 Mo 0.3333 0.6667 0.6207

No. 14
# GGA-PBEsol K2LiBP2O8, optimized geometry
# * M_tot: 0.0000 μB/atom
# * raw formation energy: -2.3758 eV per atom
# * VASP energy: -392.35 eV for the cell shown
data_K2LiBP2O8
_chemical_formula_sum 'K8 Li4 B4 P8 O32'
_space_group_name_H-M_alt 'P 1 21/c 1'
_space_group_IT_number 14
_space_group_name_Hall '-P 2ybc'
_cell_length_a 8.336
_cell_length_b 8.810
_cell_length_c 12.315
_cell_angle_alpha 90.00
_cell_angle_beta 127.17
_cell_angle_gamma 90.00
loop_
_atom_site_label
_atom_site_type_symbol
_atom_site_fract_x
_atom_site_fract_y
_atom_site_fract_z
K1 K 0.061 0.225 0.088
K2 K 0.274 0.725 0.320
Li1 Li 0.191 0.083 0.882
B1 B 0.466 0.586 0.125
P1 P 0.207 0.077 0.392
P2 P 0.471 0.606 0.671
O1 O 0.065 0.007 0.252
O2 O 0.126 0.218 0.414
O3 O 0.261 0.550 0.001
O4 O 0.293 0.559 0.528
O5 O 0.323 0.071 0.791
O6 O 0.411 0.127 0.420
O7 O 0.444 0.540 0.779
O8 O 0.451 0.718 0.192

No. 15
# GGA-PBEsol SrTiNF2, optimized geometry
# * M_tot: 0.1974 μB/atom
# * raw formation energy: -2.3914 eV per atom
# * VASP energy: -34.50 eV for the cell shown
data_SrTiNF2
_chemical_formula_sum 'Sr1 Ti1 N1 F2'
_space_group_name_H-M_alt 'P 4/m m m'
_space_group_IT_number 123
_space_group_name_Hall '-P 4 2'
_cell_length_a 4.074
_cell_length_b 4.074
_cell_length_c 4.006
_cell_angle_alpha 90.00
_cell_angle_beta 90.00
_cell_angle_gamma 90.00
loop_
_atom_site_label
_atom_site_type_symbol
_atom_site_fract_x
_atom_site_fract_y
_atom_site_fract_z
Sr1 Sr 0.000 0.000 0.000
Ti1 Ti 0.500 0.500 0.500
N1 N 0.500 0.500 0.000
F1 F 0.000 0.500 0.500

No. 16
# GGA-PBEsol AsRu3, optimized geometry
# * distance to the lowest polymorph of the same formula: 0.000 eV per atom
# * M_tot: 0.0000 μB/atom
# * DFT formation energy: 32 kJ/mol of formula units
# * VASP energy: -35.29 eV for the cell shown
data_AsRu3
_chemical_formula_sum 'As1 Ru3'
_space_group_name_H-M_alt 'P 1 2/m 1'
_space_group_IT_number 10
_space_group_name_Hall '-P 2y'
_cell_length_a 2.775
_cell_length_b 3.945
_cell_length_c 5.167
_cell_angle_alpha 90.00
_cell_angle_beta 103.82
_cell_angle_gamma 90.00
loop_
_atom_site_label
_atom_site_type_symbol
_atom_site_fract_x
_atom_site_fract_y
_atom_site_fract_z
As1 As 0.000 0.000 0.000
Ru1 Ru 0.000 0.000 0.500
Ru2 Ru 0.376 0.500 0.245

No. 17
# GGA-PBEsol Zr2ScRh, optimized geometry
# * M_tot: 0.0004 μB/atom
# * DFT formation energy: -82 kJ/mol of formula units
# * VASP energy: -67.54 eV for the cell shown
data_Zr2ScRh
_chemical_formula_sum 'Zr4 Sc2 Rh2'
_space_group_name_H-M_alt 'I -4 m 2'
_space_group_IT_number 119
_space_group_name_Hall 'I -4 -2'
_cell_length_a 3.933
_cell_length_b 3.933
_cell_length_c 9.861
_cell_angle_alpha 90.00
_cell_angle_beta 90.00
_cell_angle_gamma 90.00
loop_
_atom_site_label
_atom_site_type_symbol
_atom_site_fract_x
_atom_site_fract_y
_atom_site_fract_z
Zr1 Zr 0.000 0.000 0.000
Zr2 Zr 0.000 0.500 0.250
Sc1 Sc 0.000 0.500 0.750
Rh1 Rh 0.000 0.000 0.500

No. 18
# GGA-PBEsol FePO4, optimized geometry
# * M_tot: 0.8333 μB/atom
# * raw formation energy: -1.7905 eV per atom
# * VASP energy: -92.99 eV for the cell shown
data_FePO4
_chemical_formula_sum 'Fe2 P2 O8'
_space_group_name_H-M_alt 'I -4'
_space_group_IT_number 82
_space_group_name_Hall 'I -4'
_cell_length_a 5.159
_cell_length_b 5.159
_cell_length_c 7.673
_cell_angle_alpha 90.00
_cell_angle_beta 90.00
_cell_angle_gamma 90.00
loop_
_atom_site_label
_atom_site_type_symbol
_atom_site_fract_x
_atom_site_fract_y
_atom_site_fract_z
Fe1 Fe 0.000 0.000 0.000
P1 P 0.000 0.500 0.250
O1 O 0.106 0.722 0.136

No. 19
# GGA-PBEsol SrHgOs2, optimized geometry
# * M_tot: 0.0010 μB/atom
# * DFT formation energy: 371 kJ/mol of formula units
# * VASP energy: -23.00 eV for the cell shown
data_SrHgOs2
_chemical_formula_sum 'Sr1 Hg1 Os2'
_space_group_name_H-M_alt 'P m m m'
_space_group_IT_number 47
_space_group_name_Hall '-P 2 2'
_cell_length_a 2.797
_cell_length_b 4.508
_cell_length_c 6.344
_cell_angle_alpha 90.00
_cell_angle_beta 90.00
_cell_angle_gamma 90.00
loop_
_atom_site_label
_atom_site_type_symbol
_atom_site_fract_x
_atom_site_fract_y
_atom_site_fract_z
Sr1 Sr 0.000 0.000 0.000
Hg1 Hg 0.000 0.000 0.500
Os1 Os 0.500 0.500 0.312

No. 20
# GGA-PBEsol Mg2InTc, optimized geometry
# * M_tot: 0.0651 μB/atom
# * DFT formation energy: 75 kJ/mol of formula units
# * VASP energy: -16.90 eV for the cell shown
data_Mg2InTc
_chemical_formula_sum 'Mg2 In1 Tc1'
_space_group_name_H-M_alt 'P 4 m m'
_space_group_IT_number 99
_space_group_name_Hall 'P 4 -2'
_cell_length_a 3.443
_cell_length_b 3.443
_cell_length_c 6.165
_cell_angle_alpha 90.00
_cell_angle_beta 90.00
_cell_angle_gamma 90.00
loop_
_atom_site_label
_atom_site_type_symbol
_atom_site_fract_x
_atom_site_fract_y
_atom_site_fract_z
Mg1 Mg 0.000 0.000 0.000
Mg2 Mg 0.500 0.500 0.274
In1 In 0.500 0.500 0.721
Tc1 Tc 0.000 0.000 0.497